[1]
{
  "formula": "Hf2Zn3",
  "functional": "PBE-GGA",
  "state": "optimized geometry",
  "cell": [[1.5940, -12.9781, 0.0000], [1.5940, 12.9781, 0.0000], [0.0000, 0.0000, 4.2533]],
  "species": ["Hf", "Hf", "Hf", "Hf", "Zn", "Zn", "Zn", "Zn", "Zn", "Zn"],
  "frac_coords": [[0.0729, 0.9271, 0.7500], [0.2167, 0.7833, 0.2500], [0.7833, 0.2167, 0.7500], [0.9271, 0.0729, 0.2500], [0.3279, 0.6721, 0.2500], [0.3802, 0.6198, 0.7500], [0.4762, 0.5238, 0.7500], [0.5238, 0.4762, 0.2500], [0.6198, 0.3802, 0.2500], [0.6721, 0.3279, 0.7500]],
  "e_tot_ev_per_atom": -4.94,
  "space_group": "Cmcm (63)",
  "delta_e_f_ev_per_atom": -0.20
}

[2]
{
  "formula": "Hf3Zn11",
  "functional": "PBE-GGA",
  "state": "optimized geometry",
  "cell": [[-2.0691, 4.6074, 5.8878], [2.0691, -4.6074, 5.8878], [2.0691, 4.6074, -5.8878]],
  "species": ["Hf", "Hf", "Hf", "Zn", "Zn", "Zn", "Zn", "Zn", "Zn", "Zn", "Zn", "Zn", "Zn", "Zn"],
  "frac_coords": [[0.0000, 0.0000, 0.0000], [0.2880, 0.2880, 0.0000], [0.7120, 0.7120, 0.0000], [0.0157, 0.6477, 0.3680], [0.1381, 0.8562, 0.2820], [0.2796, 0.6477, 0.6320], [0.3294, 0.5000, 0.8294], [0.4258, 0.1438, 0.2820], [0.5000, 0.0000, 0.5000], [0.5742, 0.8562, 0.7180], [0.6706, 0.5000, 0.1706], [0.7204, 0.3523, 0.3680], [0.8619, 0.1438, 0.7180], [0.9843, 0.3523, 0.6320]],
  "e_tot_ev_per_atom": -3.29,
  "space_group": "Immm (71)",
  "delta_e_f_ev_per_atom": -0.15
}

[3]
{
  "formula": "HfZn2",
  "functional": "PBE-GGA",
  "state": "optimized geometry",
  "cell": [[5.2155, 0.0000, 0.0000], [-2.6077, 4.5167, 0.0000], [0.0000, 0.0000, 16.8494]],
  "species": ["Hf", "Hf", "Hf", "Hf", "Hf", "Hf", "Hf", "Hf", "Zn", "Zn", "Zn", "Zn", "Zn", "Zn", "Zn", "Zn", "Zn", "Zn", "Zn", "Zn", "Zn", "Zn", "Zn", "Zn"],
  "frac_coords": [[0.0000, 0.0000, 0.0920], [0.0000, 0.0000, 0.4080], [0.0000, 0.0000, 0.5920], [0.0000, 0.0000, 0.9080], [0.3333, 0.6667, 0.1567], [0.3333, 0.6667, 0.3433], [0.6667, 0.3333, 0.6567], [0.6667, 0.3333, 0.8433], [0.0000, 0.5000, 0.0000], [0.0000, 0.5000, 0.5000], [0.1610, 0.3221, 0.7500], [0.1610, 0.8390, 0.7500], [0.3221, 0.1610, 0.2500], [0.3333, 0.6667, 0.6272], [0.3333, 0.6667, 0.8728], [0.5000, 0.0000, 0.0000], [0.5000, 0.0000, 0.5000], [0.5000, 0.5000, 0.0000], [0.5000, 0.5000, 0.5000], [0.6667, 0.3333, 0.1272], [0.6667, 0.3333, 0.3728], [0.6779, 0.8390, 0.7500], [0.8390, 0.1610, 0.2500], [0.8390, 0.6779, 0.2500]],
  "e_tot_ev_per_atom": -4.38,
  "space_group": "P6_3/mmc (194)",
  "delta_e_f_ev_per_atom": -0.21
}

[4]
{
  "formula": "Hf2Zn13",
  "functional": "PBE-GGA",
  "state": "optimized geometry",
  "cell": [[3.6317, 2.0967, 6.3947], [-3.6317, 2.0967, 6.3947], [0.0000, -4.1935, 6.3947]],
  "species": ["Hf", "Hf", "Zn", "Zn", "Zn", "Zn", "Zn", "Zn", "Zn", "Zn", "Zn", "Zn", "Zn", "Zn", "Zn"],
  "frac_coords": [[0.2375, 0.2375, 0.2375], [0.7625, 0.7625, 0.7625], [0.0000, 0.0000, 0.0000], [0.0100, 0.0100, 0.6516], [0.0100, 0.6516, 0.0100], [0.2402, 0.2402, 0.6103], [0.2402, 0.6103, 0.2402], [0.3484, 0.9900, 0.9900], [0.3897, 0.7598, 0.7598], [0.6103, 0.2402, 0.2402], [0.6516, 0.0100, 0.0100], [0.7598, 0.3897, 0.7598], [0.7598, 0.7598, 0.3897], [0.9900, 0.3484, 0.9900], [0.9900, 0.9900, 0.3484]],
  "e_tot_ev_per_atom": -2.25,
  "space_group": "R-3m (166)",
  "delta_e_f_ev_per_atom": 0.18
}

[5]
{
  "formula": "Hf5Zn3",
  "functional": "PBE-GGA",
  "state": "optimized geometry",
  "cell": [[3.2287, 0.0000, 0.0000], [0.0000, 3.2287, 0.0000], [0.0000, 0.0000, 14.8542]],
  "species": ["Hf", "Hf", "Hf", "Hf", "Hf", "Zn", "Zn", "Zn"],
  "frac_coords": [[0.0000, 0.0000, 0.0000], [0.0000, 0.0000, 0.2393], [0.0000, 0.0000, 0.7607], [0.5000, 0.5000, 0.3781], [0.5000, 0.5000, 0.6219], [0.0000, 0.0000, 0.5000], [0.5000, 0.5000, 0.1177], [0.5000, 0.5000, 0.8823]],
  "e_tot_ev_per_atom": -6.88,
  "space_group": "P4/mmm (123)",
  "delta_e_f_ev_per_atom": -0.18
}

[6]
{
  "formula": "HfZn5",
  "functional": "PBE-GGA",
  "state": "optimized geometry",
  "cell": [[2.0266, -5.7203, 0.0000], [2.0266, 5.7203, 0.0000], [0.0000, 0.0000, 4.1265]],
  "species": ["Hf", "Zn", "Zn", "Zn", "Zn", "Zn"],
  "frac_coords": [[0.0000, 0.0000, 0.0000], [0.1661, 0.8339, 0.5000], [0.3213, 0.6787, 0.0000], [0.5000, 0.5000, 0.5000], [0.6787, 0.3213, 0.0000], [0.8339, 0.1661, 0.5000]],
  "e_tot_ev_per_atom": -2.84,
  "space_group": "Cmmm (65)",
  "delta_e_f_ev_per_atom": -0.12
}

[7]
{
  "formula": "HfZn8",
  "functional": "PBE-GGA",
  "state": "optimized geometry",
  "cell": [[-4.2044, 4.2044, 1.9895], [4.2044, -4.2044, 1.9895], [4.2044, 4.2044, -1.9895]],
  "species": ["Hf", "Zn", "Zn", "Zn", "Zn", "Zn", "Zn", "Zn", "Zn"],
  "frac_coords": [[0.0000, 0.0000, 0.0000], [0.0000, 0.3394, 0.3394], [0.0000, 0.6606, 0.6606], [0.3249, 0.3249, 0.6499], [0.3249, 0.6751, 0.0000], [0.3394, 0.0000, 0.3394], [0.6606, 0.0000, 0.6606], [0.6751, 0.3249, 0.0000], [0.6751, 0.6751, 0.3501]],
  "e_tot_ev_per_atom": -2.30,
  "space_group": "I4/mmm (139)",
  "delta_e_f_ev_per_atom": -0.06
}

[8]
{
  "formula": "Hf9Zr4Zn11",
  "functional": "PBE-GGA",
  "state": "optimized geometry",
  "cell": [[7.1612, -10.1558, 0.0000], [7.1612, 10.1558, 0.0000], [0.0000, 0.0000, 3.0771]],
  "species": ["Hf", "Hf", "Hf", "Hf", "Hf", "Hf", "Hf", "Hf", "Hf", "Zr", "Zr", "Zr", "Zr", "Zn", "Zn", "Zn", "Zn", "Zn", "Zn", "Zn", "Zn", "Zn", "Zn", "Zn"],
  "frac_coords": [[0.0000, 0.0000, 0.0000], [0.1101, 0.6577, 0.0000], [0.2961, 0.4898, 0.0000], [0.3423, 0.8899, 0.0000], [0.4898, 0.2961, 0.0000], [0.5102, 0.7039, 0.0000], [0.6577, 0.1101, 0.0000], [0.7039, 0.5102, 0.0000], [0.8899, 0.3423, 0.0000], [0.0926, 0.2514, 0.0000], [0.2514, 0.0926, 0.0000], [0.7486, 0.9074, 0.0000], [0.9074, 0.7486, 0.0000], [0.0899, 0.4567, 0.5000], [0.1249, 0.8751, 0.5000], [0.3015, 0.3015, 0.5000], [0.3107, 0.6893, 0.5000], [0.4567, 0.0899, 0.5000], [0.5000, 0.5000, 0.5000], [0.5433, 0.9101, 0.5000], [0.6893, 0.3107, 0.5000], [0.6985, 0.6985, 0.5000], [0.8751, 0.1249, 0.5000], [0.9101, 0.5433, 0.5000]],
  "e_tot_ev_per_atom": -5.87,
  "space_group": "Cmmm (65)",
  "delta_e_f_ev_per_atom": -0.13
}

[9]
{
  "formula": "HfZr4Zn3",
  "functional": "PBE-GGA",
  "state": "optimized geometry",
  "cell": [[3.1930, 0.0000, 0.0000], [0.0000, 3.1930, 0.0000], [0.0000, 0.0000, 15.5484]],
  "species": ["Hf", "Zr", "Zr", "Zr", "Zr", "Zn", "Zn", "Zn"],
  "frac_coords": [[0.0000, 0.0000, 0.0000], [0.5000, 0.5000, 0.1415], [0.5000, 0.5000, 0.3808], [0.5000, 0.5000, 0.6192], [0.5000, 0.5000, 0.8585], [0.0000, 0.0000, 0.2633], [0.0000, 0.0000, 0.5000], [0.0000, 0.0000, 0.7367]],
  "e_tot_ev_per_atom": -6.19,
  "space_group": "P4/mmm (123)",
  "delta_e_f_ev_per_atom": -0.20
}

[10]
{
  "formula": "HfZr2Zn6",
  "functional": "PBE-GGA",
  "state": "optimized geometry",
  "cell": [[7.5172, 0.0000, 0.0000], [-3.7586, 6.5101, 0.0000], [0.0000, 0.0000, 3.1721]],
  "species": ["Hf", "Zr", "Zr", "Zn", "Zn", "Zn", "Zn", "Zn", "Zn"],
  "frac_coords": [[0.0000, 0.0000, 0.0000], [0.3333, 0.6667, 0.0000], [0.6667, 0.3333, 0.0000], [0.0000, 0.3324, 0.5000], [0.0000, 0.6676, 0.5000], [0.3324, 0.0000, 0.5000], [0.3324, 0.3324, 0.5000], [0.6676, 0.0000, 0.5000], [0.6676, 0.6676, 0.5000]],
  "e_tot_ev_per_atom": -4.12,
  "space_group": "P6/mmm (191)",
  "delta_e_f_ev_per_atom": -0.27
}

[11]
{
  "formula": "HfZr4Zn",
  "functional": "PBE-GGA",
  "state": "optimized geometry",
  "cell": [[3.2053, 0.0000, 0.0000], [0.0000, 3.2053, 0.0000], [0.0000, 0.0000, 12.6851]],
  "species": ["Hf", "Zr", "Zr", "Zr", "Zr", "Zn"],
  "frac_coords": [[0.0000, 0.0000, 0.0000], [0.0000, 0.0000, 0.3532], [0.0000, 0.0000, 0.6468], [0.5000, 0.5000, 0.1744], [0.5000, 0.5000, 0.8256], [0.5000, 0.5000, 0.5000]],
  "e_tot_ev_per_atom": -7.63,
  "space_group": "P4/mmm (123)",
  "delta_e_f_ev_per_atom": -0.06
}

[12]
{
  "formula": "HfZr6Zn5",
  "functional": "PBE-GGA",
  "state": "optimized geometry",
  "cell": [[-2.2184, 3.9221, 6.6841], [2.2184, -3.9221, 6.6841], [2.2184, 3.9221, -6.6841]],
  "species": ["Hf", "Zr", "Zr", "Zr", "Zr", "Zr", "Zr", "Zn", "Zn", "Zn", "Zn", "Zn"],
  "frac_coords": [[0.0000, 0.0000, 0.0000], [0.0899, 0.8317, 0.2583], [0.2671, 0.5000, 0.7671], [0.4266, 0.1683, 0.2583], [0.5734, 0.8317, 0.7417], [0.7329, 0.5000, 0.2329], [0.9101, 0.1683, 0.7417], [0.1575, 0.6575, 0.5000], [0.3254, 0.3254, 0.0000], [0.5000, 0.0000, 0.5000], [0.6746, 0.6746, 0.0000], [0.8425, 0.3425, 0.5000]],
  "e_tot_ev_per_atom": -5.82,
  "space_group": "Immm (71)",
  "delta_e_f_ev_per_atom": -0.18
}